Entry 1:
Below is a relaxed structure of Co3AsIr, with properties calculated at the PBE level.

a = 4.2474 Å, b = 4.2474 Å, c = 4.2474 Å
α = 90.00°, β = 90.00°, γ = 90.00°
Space group Pm-3m (No. 221)
Symmetry-distinct sites (fractional):
Co 0.0000 0.0000 0.5000 [3 per cell]
As 0.0000 0.0000 0.0000 [1 per cell]
Ir 0.5000 0.5000 0.5000 [1 per cell]

Summary:
As for the energy above the most stable polymorph in this dataset: 0 meV/atom. Its total DFT energy (no corrections) is -0.2194 hartree per atom. As for the density of states at the Fermi level: 9.11 states/eV per cell.

=====

Entry 2:
Below is a relaxed structure of KSc3Pb, with properties calculated at the PBE level.

a = 5.6634 Å, b = 5.6634 Å, c = 5.6634 Å
α = 90.00°, β = 90.00°, γ = 90.00°
Space group Pm-3m (No. 221)
Symmetry-distinct sites (fractional):
K 0.0000 0.0000 0.0000 [1 per cell]
Sc 0.0000 0.5000 0.5000 [3 per cell]
Pb 0.5000 0.5000 0.5000 [1 per cell]

Summary:
As for the energy above the most stable polymorph in this dataset: 0 meV/atom. Its total DFT energy (no corrections) is -0.1557 hartree per atom. As for the density of states at the Fermi level: 9.51 states/eV per cell.

=====

Entry 3:
Below is a relaxed structure of La2Pr4Tl3, with properties calculated at the PBE level.

a = 7.0550 Å, b = 18.5953 Å, c = 4.7433 Å
α = 90.00°, β = 90.00°, γ = 90.00°
Space group Pnnm (No. 58)
Symmetry-distinct sites (fractional):
La 0.1799 0.0714 0.0000 [4 per cell]
Pr 0.0953 0.7139 0.0000 [4 per cell]
Pr 0.1744 0.3915 0.5000 [4 per cell]
Tl 0.0000 0.5000 0.0000 [2 per cell]
Tl 0.0516 0.8294 0.5000 [4 per cell]

Summary:
Its total DFT energy (no corrections) is -0.1533 hartree per atom. As for the density of states at the Fermi level: 21.88 states/eV per cell.

=====

Entry 4:
Below is a relaxed structure of K2AgSb, with properties calculated at the PBE level.

a = 3.5948 Å, b = 3.5948 Å, c = 9.9916 Å
α = 90.00°, β = 90.00°, γ = 90.00°
Space group P4/mmm (No. 123)
Symmetry-distinct sites (fractional):
K 0.0000 0.0000 0.2460 [2 per cell]
Ag 0.5000 0.5000 0.0000 [1 per cell]
Sb 0.5000 0.5000 0.5000 [1 per cell]

Summary:
For the energy relative to the elements, uncorrected, the calculation gives -7.3 kJ/mol of atoms. Its total DFT energy (no corrections) is -0.0870 hartree per atom. As for the density of states at the Fermi level: 0.77 states/eV per cell.

=====

Entry 5:
Below is a relaxed structure of AcZnAsPd, with properties calculated at the PBE level.

a = 7.1049 Å, b = 7.1049 Å, c = 7.1049 Å
α = 90.00°, β = 90.00°, γ = 90.00°
Space group F-43m (No. 216)
Symmetry-distinct sites (fractional):
Ac 0.0000 0.0000 0.0000 [4 per cell]
Zn 0.2500 0.2500 0.2500 [4 per cell]
As 0.0000 0.0000 0.5000 [4 per cell]
Pd 0.2500 0.2500 0.7500 [4 per cell]

Summary:
Its total DFT energy (no corrections) is -0.1569 hartree per atom. As for the density of states at the Fermi level: 5.19 states/eV per cell.

=====

Entry 6:
Below is a relaxed structure of NiSe4Cl, with properties calculated at the PBE level.

a = 18.9216 Å, b = 7.7842 Å, c = 4.3856 Å
α = 90.00°, β = 92.51°, γ = 90.00°
Space group C2/m (No. 12)
Symmetry-distinct sites (fractional):
Ni 0.0555 0.0000 0.1866 [4 per cell]
Se 0.0000 0.2052 0.5000 [4 per cell]
Se 0.1056 0.2276 0.9190 [8 per cell]
Se 0.1844 0.0000 0.1560 [4 per cell]
Cl 0.2110 0.5000 0.4773 [4 per cell]

Summary:
For the energy relative to the elements, uncorrected, the calculation gives -1.6 kJ/mol of atoms. As for the energy above the most stable polymorph in this dataset: 0 meV/atom. Its total DFT energy (no corrections) is -0.1327 hartree per atom. As for the density of states at the Fermi level: 7.92 states/eV per cell.

=====

What did the third record say?
Below is a relaxed structure of La2Pr4Tl3, with properties calculated at the PBE level.

a = 7.0550 Å, b = 18.5953 Å, c = 4.7433 Å
α = 90.00°, β = 90.00°, γ = 90.00°
Space group Pnnm (No. 58)
Symmetry-distinct sites (fractional):
La 0.1799 0.0714 0.0000 [4 per cell]
Pr 0.0953 0.7139 0.0000 [4 per cell]
Pr 0.1744 0.3915 0.5000 [4 per cell]
Tl 0.0000 0.5000 0.0000 [2 per cell]
Tl 0.0516 0.8294 0.5000 [4 per cell]

Summary:
Its total DFT energy (no corrections) is -0.1533 hartree per atom. As for the density of states at the Fermi level: 21.88 states/eV per cell.